Entry from the Alexandria database: a geometry-optimized KPa2CoN4 structure (PBE).

Unit cell a=5.608 b=5.608 c=5.608 alpha=93.59 beta=117.95 gamma=117.95
Sites, in units of the cell vectors:
Pa1 0.500 0.250 0.750
N1 0.000 0.147 0.545
K1 0.000 0.000 0.000
Pa2 0.500 0.750 0.250
Co1 0.000 0.500 0.500
N2 0.398 0.853 0.853
N3 0.602 0.455 0.455
N4 0.000 0.545 0.147

Electronic total energy in eV per atom: -8.158
D(E_F) in states/eV/cell: 7.8
Space group: I-42m, No. 121
M_tot in μB/f.u.: 2.6